(1)
Material: NaTcP2S
Method: DFT, GGA-PBE
State: optimized geometry

Calculated values
symmetry: P4/mmm, No. 123
formation energy (no corrections): 1.89 eV/atom

Lattice parameters (Å, degrees): 4.628 4.628 4.602 90.00 90.00 90.00
Element x y z (fractional)
Na 0.000 0.000 0.000
Tc 0.500 0.500 0.500
P 0.000 0.500 0.000
P 0.500 0.000 0.000
S 0.000 0.000 0.500

(2)
Material: NaTcP2S
Method: DFT, GGA-PBE
State: optimized geometry

Calculated values
symmetry: P4/mmm, No. 123
formation energy (no corrections): 0.10 eV/atom

Lattice parameters (Å, degrees): 4.521 4.521 5.264 90.00 90.00 90.00
Element x y z (fractional)
Na 0.000 0.000 0.000
Tc 0.500 0.500 0.500
P 0.000 0.500 0.500
P 0.500 0.000 0.500
S 0.500 0.500 0.000

(3)
Material: NaTcPS2
Method: DFT, GGA-PBE
State: optimized geometry

Calculated values
symmetry: P4/mmm, No. 123
formation energy (no corrections): -0.01 eV/atom

Lattice parameters (Å, degrees): 4.796 4.796 4.568 90.00 90.00 90.00
Element x y z (fractional)
Na 0.000 0.000 0.000
Tc 0.500 0.500 0.500
P 0.500 0.500 0.000
S 0.000 0.500 0.500
S 0.500 0.000 0.500

(4)
Material: NaTcPS2
Method: DFT, GGA-PBE
State: optimized geometry

Calculated values
symmetry: P4/mmm, No. 123
formation energy (no corrections): 1.72 eV/atom

Lattice parameters (Å, degrees): 4.662 4.662 4.629 90.00 90.00 90.00
Element x y z (fractional)
Na 0.000 0.000 0.000
Tc 0.500 0.500 0.500
P 0.000 0.000 0.500
S 0.000 0.500 0.000
S 0.500 0.000 0.000

Calculated values (eV/atom) of calculated total energy for the records, taken in order: -3.44 -5.23 -5.08 -3.35.
Calculated values (μB per formula unit) of magnetization for the records, taken in order: 0.00 0.00 0.28 0.03.